(1)
Entry from the Alexandria database: a relaxed NaTc3Ru crystal (PBE-GGA).

* formation enthalpy at 0 K: 13.19 eV/f.u.
* relative energy among the computed polymorphs: 1.024 eV per atom
* total magnetic moment: 0.169 μB/atom

a = 4.370 Å, b = 4.370 Å, c = 4.370 Å
α = 90.00°, β = 90.00°, γ = 90.00°
Space group Pm-3m (No. 221)
Symmetry-distinct sites (fractional):
Na 0.000 0.000 0.000
Tc 0.000 0.000 0.500
Ru 0.500 0.500 0.500



(2)
Entry from the Alexandria database: a relaxed LaPm3Ir2 crystal (PBE-GGA).

* formation enthalpy at 0 K: -3.34 eV/f.u.
* relative energy among the computed polymorphs: 0.000 eV per atom
* total magnetic moment: 0.000 μB/atom

a = 16.880 Å, b = 4.321 Å, c = 11.660 Å
α = 90.00°, β = 119.79°, γ = 90.00°
Space group C2/m (No. 12)
Symmetry-distinct sites (fractional):
La 0.076 0.000 0.177
Pm 0.059 0.500 0.719
Pm 0.175 0.000 0.542
Pm 0.212 0.500 0.087
Ir 0.118 0.000 0.910
Ir 0.131 0.500 0.359



(3)
Entry from the Alexandria database: a relaxed Tb6Pm2Dy crystal (PBE-GGA).

* formation enthalpy at 0 K: 0.99 eV/f.u.
* total magnetic moment: 0.000 μB/atom

a = 10.649 Å, b = 17.795 Å, c = 6.180 Å
α = 90.00°, β = 93.56°, γ = 90.00°
Space group C2/c (No. 15)
Symmetry-distinct sites (fractional):
Tb 0.085 0.090 0.006
Tb 0.086 0.424 0.991
Tb 0.166 0.258 0.757
Pm 0.248 0.088 0.515
Dy 0.000 0.262 0.250



(4)
Entry from the Alexandria database: a relaxed La2Pd2I crystal (PBE-GGA).

* relative energy among the computed polymorphs: 0.103 eV per atom
* E_form (uncorrected): -0.84 eV per atom
* total magnetic moment: 0.000 μB/atom

a = 8.543 Å, b = 8.543 Å, c = 3.813 Å
α = 90.00°, β = 90.00°, γ = 90.00°
Space group P4/mbm (No. 127)
Symmetry-distinct sites (fractional):
La 0.166 0.334 0.000
Pd 0.120 0.620 0.500
I 0.000 0.000 0.000



| no. | DFT total energy (eV/atom) |
| --- | --- |
| 1 | -5.7014 |
| 2 | -6.7076 |
| 3 | -4.5436 |
| 4 | -5.1958 |